# Li2TbGa2Ge2

Crystalline Li2TbGa2Ge2 at its relaxed geometry (PBE, Alexandria via LeMat-Bulk).

```
Li2TbGa2Ge2
1.0
4.3675 0.0000 0.0000
2.1837 3.7823 0.0000
2.1837 1.2608 7.7277
Li Tb Ga Ge
2 1 2 2
Cartesian
2.1837 1.2608 4.4142
6.5512 3.7823 3.3134
0.0000 0.0000 0.0000
4.3675 2.5216 2.4781
4.3675 2.5216 5.2496
6.5512 3.7823 6.0084
2.1837 1.2608 1.7193
```

Output
Raw total energy = -3.803 eV per atom
Formation enthalpy at 0 K = -2.88 eV/f.u.
M_tot = 0.000 μB/cell
N(E_F) = 0.303 states/eV per atom